The following is a DFT calculation (PBE-GGA) of a relaxed structure of LiTi3O4.

abc: 2.8902 5.2578 5.2578
angles: 75.25 90.00 90.00
Element x y z (fractional)
Li 0.0000 0.0000 0.0000
Ti 0.0000 0.0240 0.4944
Ti 0.0000 0.4944 0.0240
Ti 0.5000 0.4710 0.4710
O 0.0000 0.2926 0.7271
O 0.0000 0.7271 0.2926
O 0.5000 0.2043 0.2043
O 0.5000 0.7672 0.7672

Calculated values
raw formation energy = -2.418 eV/atom
ΔE to the lowest computed polymorph = 87 meV per atom
calculated volume = 9.66 A^3/atom